Pt2RhSe: optimized geometry, PBE.

Computed properties:
Formation energy without anion corrections, eV/atom: 0.21
Crystal system: orthorhombic
Magnetization, μB/cell: 0.0

a b c (Å): 5.5295 8.0065 2.8692
angles (deg): 90.00 90.00 90.00
With the nearest neighbours (Å) after each atom.
Space group Cmmm (No. 65)
Unique sites:
Pt: 0.2500 0.2500 0.0000 x4  4 Pt 2.76-2.87, 4 Se 2.82, 4 Rh 2.82
Rh: 0.0000 0.0000 0.5000 x2  2 Se 2.76, 8 Pt 2.82, 2 Rh 2.87
Se: 0.0000 0.5000 0.5000 x2  2 Rh 2.76, 8 Pt 2.82, 2 Se 2.87

***

PtRhSe2: optimized geometry, PBE.

Computed properties:
Formation energy without anion corrections, eV/atom: -0.05
Crystal system: tetragonal
Magnetization, μB/cell: 0.0

a b c (Å): 5.3696 5.3696 12.2607
angles (deg): 90.00 90.00 90.00
With the nearest neighbours (Å) after each atom.
Space group I-42d (No. 122)
Unique sites:
Pt: 0.0000 0.0000 0.0000 x4  4 Se 2.47
Rh: 0.0000 0.0000 0.5000 x4  4 Se 2.41
Se: 0.2410 0.2500 0.6250 x8  2 Rh 2.41, 2 Pt 2.47

***

Pt2RhSe: optimized geometry, PBE.

Computed properties:
Formation energy without anion corrections, eV/atom: 0.10
Crystal system: orthorhombic
Magnetization, μB/cell: 0.0

a b c (Å): 2.8921 3.7465 5.9049
angles (deg): 90.00 90.00 90.00
With the nearest neighbours (Å) after each atom.
Space group Pmm2 (No. 25)
Unique sites:
Pt: 0.0000 0.0000 0.0000 x1  6 Pt 2.78-2.89, 2 Rh 2.88-3.02, 4 Se 2.98
Pt: 0.5000 0.5000 0.2465 x1  1 Se 2.63, 6 Pt 2.78-2.89, 4 Rh 2.84
Rh: 0.0000 0.0000 0.5116 x1  4 Se 2.60, 5 Pt 2.84-2.88, 2 Rh 2.89
Se: 0.5000 0.5000 0.6927 x1  4 Rh 2.60, 1 Pt 2.63, 2 Se 2.89

***

Pt2RhSe: optimized geometry, PBE.

Computed properties:
Formation energy without anion corrections, eV/atom: 0.09
Crystal system: trigonal
Magnetization, μB/cell: 0.0

a b c (Å): 2.9322 2.9322 25.6506
angles (deg): 90.00 90.00 120.00
With the nearest neighbours (Å) after each atom.
Space group R3m (No. 160, hexagonal axes)
Unique sites:
Pt: 0.0000 0.0000 0.0000 x3  3 Se 2.78, 9 Pt 2.83-2.93
Pt: 0.0000 0.0000 0.2450 x3  3 Rh 2.81, 9 Pt 2.83-2.93
Rh: 0.0000 0.0000 0.4911 x3  3 Se 2.50
Se: 0.0000 0.0000 0.7526 x3  3 Rh 2.50, 3 Pt 2.78

***

Pt2RhSe: optimized geometry, PBE.

Computed properties:
Formation energy without anion corrections, eV/atom: 0.13
Crystal system: tetragonal
Magnetization, μB/cell: 0.0

a b c (Å): 3.7790 3.7790 18.8509
angles (deg): 90.00 90.00 90.00
With the nearest neighbours (Å) after each atom.
Space group I-42d (No. 122)
Unique sites:
Pt: 0.2448 0.2500 0.1250 x8  4 Pt 2.64-2.70, 2 Rh 2.70, 2 Se 2.72
Rh: 0.0000 0.0000 0.0000 x4  4 Se 2.67, 4 Pt 2.70
Se: 0.0000 0.0000 0.5000 x4  4 Rh 2.67, 4 Pt 2.72

***

PtRh2Se: optimized geometry, PBE.

Computed properties:
Formation energy without anion corrections, eV/atom: 0.11
Crystal system: orthorhombic
Magnetization, μB/cell: 0.0

a b c (Å): 5.6718 7.3271 2.9556
angles (deg): 90.00 90.00 90.00
With the nearest neighbours (Å) after each atom.
Space group Cmmm (No. 65)
Unique sites:
Pt: 0.0000 0.0000 0.0000 x2  8 Rh 2.75, 2 Se 2.84, 2 Pt 2.96
Rh: 0.2500 0.2500 0.5000 x4  4 Pt 2.75, 4 Se 2.75, 4 Rh 2.84-2.96
Se: 0.0000 0.5000 0.0000 x2  8 Rh 2.75, 2 Pt 2.84, 2 Se 2.96

***

Pt2RhSe: optimized geometry, PBE.

Computed properties:
Formation energy without anion corrections, eV/atom: 0.14
Crystal system: orthorhombic
Magnetization, μB/cell: 0.0

a b c (Å): 2.8690 4.7229 9.3897
angles (deg): 90.00 90.00 90.00
With the nearest neighbours (Å) after each atom.
Space group Imm2 (No. 44)
Unique sites:
Pt: 0.0000 0.0000 0.0000 x2  4 Se 2.77, 2 Rh 2.84, 4 Pt 2.87-2.88
Pt: 0.0000 0.5000 0.2335 x2  2 Se 2.75, 4 Rh 2.78, 4 Pt 2.87-2.88
Rh: 0.0000 0.5000 0.7616 x2  2 Se 2.53, 4 Pt 2.78
Se: 0.0000 0.0000 0.4835 x2  2 Rh 2.53, 6 Pt 2.75-2.77

***

Pt3RhSe8: optimized geometry, PBE.

Computed properties:
Formation energy without anion corrections, eV/atom: -0.38
Crystal system: monoclinic
Magnetization, μB/cell: 0.0

a b c (Å): 12.0826 7.5116 7.2252
angles (deg): 90.00 122.09 90.00
With the nearest neighbours (Å) after each atom.
Space group C2/m (No. 12)
Unique sites:
Pt: 0.0000 0.0000 0.0000 x2  6 Se 2.52-2.53
Pt: 0.2500 0.2500 0.5000 x4  6 Se 2.52-2.54
Rh: 0.0000 0.5000 0.0000 x2  6 Se 2.51
Se: 0.0043 0.2525 0.2365 x8  1 Rh 2.51, 2 Pt 2.53-2.54
Se: 0.2431 0.5000 0.2584 x4  1 Rh 2.51, 2 Pt 2.54
Se: 0.2446 0.0000 0.2621 x4  3 Pt 2.52